Arrangement 1

VASP calculation (PBE) on a geometry-optimized LaPr3Bi3 structure.

Structure (CIF):
```
data_LaPr3Bi3
_chemical_formula_sum 'La6 Pr18 Bi18'
_cell_length_a 9.6033
_cell_length_b 9.6033
_cell_length_c 19.4708
_cell_angle_alpha 90.00
_cell_angle_beta 90.00
_cell_angle_gamma 120.00
_symmetry_space_group_name_H-M 'R -3'
_symmetry_Int_Tables_number 148
_symmetry_space_group_name_Hall '-R 3'
loop_
_atom_site_label
_atom_site_type_symbol
_atom_site_fract_x
_atom_site_fract_y
_atom_site_fract_z
La1 La 0.0000 0.0000 0.1664
Pr1 Pr 0.0039 0.7368 0.5861
Bi1 Bi 0.0040 0.6201 0.4192
```

Its total magnetic moment is 0.0 μB/cell.

Arrangement 2

VASP calculation (PBE) on a geometry-optimized LaPr3Bi3 structure.

Structure (CIF):
```
data_LaPr3Bi3
_chemical_formula_sum 'La4 Pr12 Bi12'
_cell_length_a 9.800
_cell_length_b 9.800
_cell_length_c 9.800
_cell_angle_alpha 90.00
_cell_angle_beta 90.00
_cell_angle_gamma 90.00
_symmetry_space_group_name_H-M 'P 21 3'
_symmetry_Int_Tables_number 198
_symmetry_space_group_name_Hall 'P 2ac 2ab 3'
loop_
_atom_site_label
_atom_site_type_symbol
_atom_site_fract_x
_atom_site_fract_y
_atom_site_fract_z
La1 La 0.071 0.429 0.571
Pr1 Pr 0.072 0.572 0.928
Pr2 Pr 0.179 0.821 0.321
Pr3 Pr 0.180 0.180 0.180
Bi1 Bi 0.000 0.251 0.877
```

Its total magnetic moment is 0.0 μB/cell.

In meV/atom, relative to the most stable structure: arrangement 1 107; arrangement 2 0.

Arrangement 1

VASP calculation (PBE) on a geometry-optimized La2PrBi structure.

Structure (CIF):
```
data_La2PrBi
_chemical_formula_sum 'La2 Pr1 Bi1'
_cell_length_a 5.038
_cell_length_b 5.038
_cell_length_c 5.109
_cell_angle_alpha 90.00
_cell_angle_beta 90.00
_cell_angle_gamma 90.00
_symmetry_space_group_name_H-M 'P 4/m m m'
_symmetry_Int_Tables_number 123
_symmetry_space_group_name_Hall '-P 4 2'
loop_
_atom_site_label
_atom_site_type_symbol
_atom_site_fract_x
_atom_site_fract_y
_atom_site_fract_z
La1 La 0.000 0.500 0.000
Pr1 Pr 0.000 0.000 0.500
Bi1 Bi 0.500 0.500 0.500
```

Its total magnetic moment is 0.0 μB/cell.

Arrangement 2

VASP calculation (PBE) on a geometry-optimized La2PrBi structure.

Structure (CIF):
```
data_La2PrBi
_chemical_formula_sum 'La6 Pr3 Bi3'
_cell_length_a 4.2253
_cell_length_b 4.2253
_cell_length_c 29.9083
_cell_angle_alpha 90.00
_cell_angle_beta 90.00
_cell_angle_gamma 120.00
_symmetry_space_group_name_H-M 'R 3 m'
_symmetry_Int_Tables_number 160
_symmetry_space_group_name_Hall 'R 3 -2"'
loop_
_atom_site_label
_atom_site_type_symbol
_atom_site_fract_x
_atom_site_fract_y
_atom_site_fract_z
La1 La 0.0000 0.0000 0.0000
La2 La 0.0000 0.0000 0.1915
Pr1 Pr 0.0000 0.0000 0.7625
Bi1 Bi 0.0000 0.0000 0.5957
```

Its total magnetic moment is 0.0 μB/cell.

In meV/atom, relative to the most stable structure: arrangement 1 0; arrangement 2 213.

Arrangement 1

VASP calculation (PBE) on a geometry-optimized La2PrBi structure.

Structure (CIF):
```
data_La2PrBi
_chemical_formula_sum 'La4 Pr2 Bi2'
_cell_length_a 4.761
_cell_length_b 4.731
_cell_length_c 12.501
_cell_angle_alpha 90.00
_cell_angle_beta 100.97
_cell_angle_gamma 90.00
_symmetry_space_group_name_H-M 'P 1 21/m 1'
_symmetry_Int_Tables_number 11
_symmetry_space_group_name_Hall '-P 2yb'
loop_
_atom_site_label
_atom_site_type_symbol
_atom_site_fract_x
_atom_site_fract_y
_atom_site_fract_z
La1 La 0.043 0.250 0.119
La2 La 0.424 0.250 0.864
Pr1 Pr 0.303 0.750 0.609
Bi1 Bi 0.173 0.750 0.340
```

Its total magnetic moment is 0.0 μB/cell.

Arrangement 2

VASP calculation (PBE) on a geometry-optimized La2PrBi structure.

Structure (CIF):
```
data_La2PrBi
_chemical_formula_sum 'La2 Pr1 Bi1'
_cell_length_a 4.357
_cell_length_b 4.357
_cell_length_c 7.252
_cell_angle_alpha 90.00
_cell_angle_beta 90.00
_cell_angle_gamma 90.00
_symmetry_space_group_name_H-M 'P 4/m m m'
_symmetry_Int_Tables_number 123
_symmetry_space_group_name_Hall '-P 4 2'
loop_
_atom_site_label
_atom_site_type_symbol
_atom_site_fract_x
_atom_site_fract_y
_atom_site_fract_z
La1 La 0.000 0.000 0.218
Pr1 Pr 0.500 0.500 0.500
Bi1 Bi 0.500 0.500 0.000
```

Its total magnetic moment is 0.0 μB/cell.

In meV/atom, relative to the most stable structure: arrangement 1 0; arrangement 2 41.